(1)
# PBE La4Pm2HoTh, relaxed
# Final energy, eV per cell: -40.24
# Total magnetization, Bohr magnetons per cell: 0.00
# D(E_F), states/eV per atom: 1.8840
# SG: P2/m
data_La4Pm2HoTh
_chemical_formula_sum 'La4 Pm2 Ho1 Th1'
_space_group_name_H-M_alt 'P 1'
_space_group_IT_number 1
_space_group_name_Hall 'P 1'
_cell_length_a 6.136
_cell_length_b 9.624
_cell_length_c 6.126
_cell_angle_alpha 50.46
_cell_angle_beta 90.00
_cell_angle_gamma 90.00
loop_
_atom_site_label
_atom_site_fract_x
_atom_site_fract_y
_atom_site_fract_z
_atom_site_occupancy
Pm1 0.500 0.000 0.500 1
Pm2 0.000 0.000 0.000 1
Ho1 0.000 0.500 0.500 1
La1 0.000 0.266 0.233 1
La2 0.500 0.733 0.267 1
La3 0.000 0.734 0.767 1
La4 0.500 0.267 0.733 1
Th1 0.500 0.500 0.000 1


(2)
# PBE La2Pm4HoTh, relaxed
# Final energy, eV per cell: -39.84
# Total magnetization, Bohr magnetons per cell: 0.00
# D(E_F), states/eV per atom: 1.9880
# SG: P2/m
data_La2Pm4HoTh
_chemical_formula_sum 'La2 Pm4 Ho1 Th1'
_space_group_name_H-M_alt 'P 1'
_space_group_IT_number 1
_space_group_name_Hall 'P 1'
_cell_length_a 6.096
_cell_length_b 6.087
_cell_length_c 9.557
_cell_angle_alpha 50.52
_cell_angle_beta 90.00
_cell_angle_gamma 90.00
loop_
_atom_site_label
_atom_site_fract_x
_atom_site_fract_y
_atom_site_fract_z
_atom_site_occupancy
Pm1 0.500 0.245 0.755 1
Pm2 0.000 0.745 0.754 1
Pm3 0.000 0.255 0.246 1
Pm4 0.500 0.755 0.245 1
La1 0.000 0.000 0.000 1
La2 0.500 0.000 0.500 1
Ho1 0.000 0.500 0.500 1
Th1 0.500 0.500 0.000 1


(3)
# PBE LaPmHo2Tl4, relaxed
# Final energy, eV per cell: -31.20
# Total magnetization, Bohr magnetons per cell: 0.00
# D(E_F), states/eV per atom: 0.8197
# SG: R-3m
data_LaPmHo2Tl4
_chemical_formula_sum 'La1 Pm1 Ho2 Tl4'
_space_group_name_H-M_alt 'P 1'
_space_group_IT_number 1
_space_group_name_Hall 'P 1'
_cell_length_a 5.456
_cell_length_b 5.456
_cell_length_c 9.473
_cell_angle_alpha 73.26
_cell_angle_beta 73.26
_cell_angle_gamma 60.00
loop_
_atom_site_label
_atom_site_fract_x
_atom_site_fract_y
_atom_site_fract_z
_atom_site_occupancy
Tl1 0.624 0.624 0.129 1
Tl2 0.874 0.874 0.378 1
Tl3 0.376 0.376 0.871 1
Tl4 0.126 0.126 0.622 1
Ho1 0.250 0.250 0.251 1
Ho2 0.750 0.750 0.749 1
La1 0.000 0.000 0.000 1
Pm1 0.500 0.500 0.500 1


(4)
# PBE LaPm2HoTl4, relaxed
# Final energy, eV per cell: -31.44
# Total magnetization, Bohr magnetons per cell: 0.00
# D(E_F), states/eV per atom: 0.9623
# SG: R-3m
data_LaPm2HoTl4
_chemical_formula_sum 'La1 Pm2 Ho1 Tl4'
_space_group_name_H-M_alt 'P 1'
_space_group_IT_number 1
_space_group_name_Hall 'P 1'
_cell_length_a 5.488
_cell_length_b 5.488
_cell_length_c 9.550
_cell_angle_alpha 73.30
_cell_angle_beta 73.30
_cell_angle_gamma 60.00
loop_
_atom_site_label
_atom_site_fract_x
_atom_site_fract_y
_atom_site_fract_z
_atom_site_occupancy
Tl1 0.873 0.873 0.381 1
Tl2 0.127 0.127 0.619 1
Tl3 0.623 0.623 0.132 1
Tl4 0.377 0.377 0.868 1
La1 0.000 0.000 0.000 1
Pm1 0.751 0.751 0.747 1
Pm2 0.249 0.249 0.253 1
Ho1 0.500 0.500 0.500 1


(5)
# PBE LaPmHoTl, relaxed
# E above lowest polymorph, kJ per mole of atoms: 0.0
# Total magnetization, Bohr magnetons per cell: 1.39
# D(E_F), states/eV per atom: 1.3353
# SG: F-43m
data_LaPmHoTl
_chemical_formula_sum 'La1 Pm1 Ho1 Tl1'
_space_group_name_H-M_alt 'P 1'
_space_group_IT_number 1
_space_group_name_Hall 'P 1'
_cell_length_a 5.597
_cell_length_b 5.597
_cell_length_c 5.597
_cell_angle_alpha 60.00
_cell_angle_beta 60.00
_cell_angle_gamma 60.00
loop_
_atom_site_label
_atom_site_fract_x
_atom_site_fract_y
_atom_site_fract_z
_atom_site_occupancy
Pm1 0.500 0.500 0.500 1
La1 0.750 0.750 0.750 1
Tl1 0.000 0.000 0.000 1
Ho1 0.250 0.250 0.250 1


(6)
# PBE LaPmHoTl, relaxed
# E above lowest polymorph, kJ per mole of atoms: 2.5
# Total magnetization, Bohr magnetons per cell: 0.02
# D(E_F), states/eV per atom: 1.8752
# SG: F-43m
data_LaPmHoTl
_chemical_formula_sum 'La1 Pm1 Ho1 Tl1'
_space_group_name_H-M_alt 'P 1'
_space_group_IT_number 1
_space_group_name_Hall 'P 1'
_cell_length_a 5.538
_cell_length_b 5.538
_cell_length_c 5.540
_cell_angle_alpha 119.99
_cell_angle_beta 119.99
_cell_angle_gamma 90.00
loop_
_atom_site_label
_atom_site_fract_x
_atom_site_fract_y
_atom_site_fract_z
_atom_site_occupancy
Ho1 0.000 0.000 0.000 1
La1 0.750 0.250 0.500 1
Pm1 0.500 0.500 0.000 1
Tl1 0.250 0.750 0.500 1


(7)
# PBE LaPm2Ho2Tm, relaxed
# Final energy, eV per cell: -55.29
# Total magnetization, Bohr magnetons per cell: 0.00
# D(E_F), states/eV per atom: 1.5325
# SG: Pmma
data_LaPm2Ho2Tm
_chemical_formula_sum 'La2 Pm4 Ho4 Tm2'
_space_group_name_H-M_alt 'P 1'
_space_group_IT_number 1
_space_group_name_Hall 'P 1'
_cell_length_a 5.687
_cell_length_b 7.047
_cell_length_c 9.865
_cell_angle_alpha 90.00
_cell_angle_beta 90.00
_cell_angle_gamma 90.00
loop_
_atom_site_label
_atom_site_fract_x
_atom_site_fract_y
_atom_site_fract_z
_atom_site_occupancy
Pm1 0.500 0.508 0.000 1
Pm2 0.500 0.008 0.000 1
Pm3 0.000 0.758 0.822 1
Pm4 0.000 0.258 0.178 1
Ho1 0.500 0.758 0.675 1
Ho2 0.000 0.758 0.161 1
Ho3 0.000 0.258 0.839 1
Ho4 0.500 0.258 0.325 1
La1 0.500 0.758 0.348 1
La2 0.500 0.258 0.652 1
Tm1 0.000 0.008 0.500 1
Tm2 0.000 0.508 0.500 1


(8)
# PBE La4PmHoTm2, relaxed
# Final energy, eV per cell: -37.82
# Total magnetization, Bohr magnetons per cell: 0.00
# D(E_F), states/eV per atom: 1.3846
# SG: Pmmm
data_La4PmHoTm2
_chemical_formula_sum 'La4 Pm1 Ho1 Tm2'
_space_group_name_H-M_alt 'P 1'
_space_group_IT_number 1
_space_group_name_Hall 'P 1'
_cell_length_a 5.239
_cell_length_b 5.214
_cell_length_c 11.263
_cell_angle_alpha 62.42
_cell_angle_beta 90.00
_cell_angle_gamma 90.00
loop_
_atom_site_label
_atom_site_fract_x
_atom_site_fract_y
_atom_site_fract_z
_atom_site_occupancy
La1 0.000 0.252 0.247 1
La2 0.000 0.748 0.753 1
La3 0.500 0.248 0.752 1
La4 0.500 0.752 0.248 1
Tm1 0.500 0.000 0.500 1
Tm2 0.000 0.000 0.000 1
Pm1 0.000 0.500 0.500 1
Ho1 0.500 0.500 0.000 1


(9)
# PBE LaPm4Ho2Tm, relaxed
# Final energy, eV per cell: -37.40
# Total magnetization, Bohr magnetons per cell: 0.00
# D(E_F), states/eV per atom: 1.4159
# SG: P2/m
data_LaPm4Ho2Tm
_chemical_formula_sum 'La1 Pm4 Ho2 Tm1'
_space_group_name_H-M_alt 'P 1'
_space_group_IT_number 1
_space_group_name_Hall 'P 1'
_cell_length_a 3.625
_cell_length_b 11.959
_cell_length_c 6.232
_cell_angle_alpha 79.88
_cell_angle_beta 90.00
_cell_angle_gamma 90.00
loop_
_atom_site_label
_atom_site_fract_x
_atom_site_fract_y
_atom_site_fract_z
_atom_site_occupancy
Ho1 0.000 0.000 0.000 1
Ho2 0.500 0.000 0.500 1
Pm1 0.500 0.751 0.251 1
Pm2 0.500 0.249 0.749 1
Pm3 0.000 0.246 0.251 1
Pm4 0.000 0.754 0.749 1
La1 0.500 0.500 0.000 1
Tm1 0.000 0.500 0.500 1


(10)
# PBE La3Pm6Ho2Tm, relaxed
# Final energy, eV per cell: -56.65
# Total magnetization, Bohr magnetons per cell: 0.00
# D(E_F), states/eV per atom: 1.5736
# SG: C2/m
data_La3Pm6Ho2Tm
_chemical_formula_sum 'La3 Pm6 Ho2 Tm1'
_space_group_name_H-M_alt 'P 1'
_space_group_IT_number 1
_space_group_name_Hall 'P 1'
_cell_length_a 6.314
_cell_length_b 6.314
_cell_length_c 12.063
_cell_angle_alpha 95.02
_cell_angle_beta 95.02
_cell_angle_gamma 120.05
loop_
_atom_site_label
_atom_site_fract_x
_atom_site_fract_y
_atom_site_fract_z
_atom_site_occupancy
Pm1 0.252 0.252 0.757 1
Pm2 0.586 0.919 0.757 1
Pm3 0.748 0.748 0.243 1
Pm4 0.919 0.586 0.757 1
Pm5 0.414 0.081 0.243 1
Pm6 0.081 0.414 0.243 1
La1 0.833 0.167 0.500 1
La2 0.500 0.500 0.500 1
La3 0.167 0.833 0.500 1
Ho1 0.667 0.333 0.000 1
Ho2 0.333 0.667 0.000 1
Tm1 0.000 0.000 0.000 1


(11)
# PBE LaPm2Ho2Tm2, relaxed
# Final energy, eV per cell: -32.26
# Total magnetization, Bohr magnetons per cell: 0.00
# D(E_F), states/eV per atom: 1.4048
# SG: C2/m
data_LaPm2Ho2Tm2
_chemical_formula_sum 'La1 Pm2 Ho2 Tm2'
_space_group_name_H-M_alt 'P 1'
_space_group_IT_number 1
_space_group_name_Hall 'P 1'
_cell_length_a 3.546
_cell_length_b 22.801
_cell_length_c 8.753
_cell_angle_alpha 19.36
_cell_angle_beta 90.00
_cell_angle_gamma 94.46
loop_
_atom_site_label
_atom_site_fract_x
_atom_site_fract_y
_atom_site_fract_z
_atom_site_occupancy
La1 0.000 0.000 0.500 1
Ho1 0.929 0.857 0.219 1
Ho2 0.071 0.143 0.781 1
Tm1 0.639 0.278 0.112 1
Tm2 0.361 0.722 0.888 1
Pm1 0.294 0.589 0.611 1
Pm2 0.706 0.411 0.389 1


(12)
# PBE La2Pm6HoTm3, relaxed
# Final energy, eV per cell: -56.08
# Total magnetization, Bohr magnetons per cell: 0.00
# D(E_F), states/eV per atom: 1.3595
# SG: C2/m
data_La2Pm6HoTm3
_chemical_formula_sum 'La2 Pm6 Ho1 Tm3'
_space_group_name_H-M_alt 'P 1'
_space_group_IT_number 1
_space_group_name_Hall 'P 1'
_cell_length_a 6.275
_cell_length_b 6.275
_cell_length_c 11.946
_cell_angle_alpha 95.02
_cell_angle_beta 95.02
_cell_angle_gamma 120.02
loop_
_atom_site_label
_atom_site_fract_x
_atom_site_fract_y
_atom_site_fract_z
_atom_site_occupancy
Pm1 0.086 0.417 0.256 1
Pm2 0.583 0.914 0.744 1
Pm3 0.246 0.246 0.744 1
Pm4 0.914 0.583 0.744 1
Pm5 0.417 0.086 0.256 1
Pm6 0.754 0.754 0.256 1
La1 0.333 0.667 0.000 1
La2 0.667 0.333 0.000 1
Ho1 0.000 0.000 0.000 1
Tm1 0.834 0.166 0.500 1
Tm2 0.500 0.500 0.500 1
Tm3 0.166 0.834 0.500 1